P:
VASP calculation (PBE-GGA) on a relaxed HfTi2Rh2 crystal.

Unit cell a=6.4804 b=6.4804 c=6.3655 alpha=118.62 beta=118.62 gamma=93.02
With the nearest neighbours (Å) after each atom.
Positions (direct):
Hf: 0.1247 0.8753 0.7500  2 Rh 2.65-2.66
Hf: 0.8753 0.1247 0.2500  2 Rh 2.65-2.66
Ti: 0.2123 0.4604 0.9244  4 Rh 2.39-2.53
Ti: 0.4604 0.2123 0.4244  4 Rh 2.39-2.53
Ti: 0.5396 0.7877 0.5756  4 Rh 2.39-2.53
Ti: 0.7877 0.5396 0.0756  4 Rh 2.39-2.53
Rh: 0.1581 0.8419 0.2500  4 Ti 2.39-2.53, 1 Hf 2.66
Rh: 0.4066 0.5934 0.7500  4 Ti 2.39-2.53, 1 Hf 2.65
Rh: 0.5934 0.4066 0.2500  4 Ti 2.39-2.53, 1 Hf 2.65
Rh: 0.8419 0.1581 0.7500  4 Ti 2.39-2.53, 1 Hf 2.66

Results
M_tot: 0.0 μB per cell
volume: 19.2 Å³/atom
symmetry: C2/c (15)

Q:
VASP calculation (PBE-GGA) on a relaxed HfTi2Rh2 crystal.

Unit cell a=7.4510 b=7.4510 c=3.0133 alpha=90.00 beta=90.00 gamma=90.00
With the nearest neighbours (Å) after each atom.
Positions (direct):
Hf: 0.0000 0.0000 0.0000  4 Rh 2.90, 2 Hf 3.01, 8 Ti 3.17
Hf: 0.5000 0.5000 0.0000  4 Rh 2.90, 2 Hf 3.01, 8 Ti 3.17
Ti: 0.1615 0.3385 0.5000  6 Rh 2.62-2.68
Ti: 0.3385 0.8385 0.5000  6 Rh 2.62-2.68
Ti: 0.6615 0.1615 0.5000  6 Rh 2.62-2.68
Ti: 0.8385 0.6615 0.5000  6 Rh 2.62-2.68
Rh: 0.1346 0.6346 0.0000  6 Ti 2.62-2.68, 1 Rh 2.84, 2 Hf 2.90
Rh: 0.3654 0.1346 0.0000  6 Ti 2.62-2.68, 1 Rh 2.84, 2 Hf 2.90
Rh: 0.6346 0.8654 0.0000  6 Ti 2.62-2.68, 1 Rh 2.84, 2 Hf 2.90
Rh: 0.8654 0.3654 0.0000  6 Ti 2.62-2.68, 1 Rh 2.84, 2 Hf 2.90

Results
M_tot: 0.0 μB per cell
volume: 16.7 Å³/atom
symmetry: P4/mbm (127)

Most stable structure: Q

P:
VASP calculation (PBE-GGA) on a relaxed HfTl3Rh crystal.

Unit cell a=5.1656 b=5.1656 c=5.1656 alpha=90.00 beta=90.00 gamma=90.00
With the nearest neighbours (Å) after each atom.
Positions (direct):
Hf: 0.0000 0.0000 0.0000  12 Tl 3.65
Tl: 0.0000 0.5000 0.5000  2 Rh 2.58
Tl: 0.5000 0.0000 0.5000  2 Rh 2.58
Tl: 0.5000 0.5000 0.0000  2 Rh 2.58
Rh: 0.5000 0.5000 0.5000  6 Tl 2.58

Results
M_tot: 0.0 μB per cell
volume: 27.6 Å³/atom
symmetry: Pm-3m (221)

Q:
VASP calculation (PBE-GGA) on a relaxed HfTl3Rh crystal.

Unit cell a=5.5177 b=5.5177 c=5.5177 alpha=90.00 beta=90.00 gamma=90.00
With the nearest neighbours (Å) after each atom.
Positions (direct):
Hf: 0.0000 0.0000 0.0000  6 Tl 2.76
Tl: 0.0000 0.0000 0.5000  2 Hf 2.76
Tl: 0.0000 0.5000 0.0000  2 Hf 2.76
Tl: 0.5000 0.0000 0.0000  2 Hf 2.76
Rh: 0.5000 0.5000 0.5000  12 Tl 3.90

Results
M_tot: 0.9 μB per cell
volume: 33.6 Å³/atom
symmetry: Pm-3m (221)

Most stable structure: P

P:
VASP calculation (PBE-GGA) on a relaxed TmHfRh4 crystal.

Unit cell a=5.3124 b=5.3124 c=6.6682 alpha=108.93 beta=108.93 gamma=35.49
With the nearest neighbours (Å) after each atom.
Positions (direct):
Tm: 0.0000 0.0000 0.0000  10 Rh 2.84-3.16
Hf: 0.0000 0.0000 0.5000  8 Rh 2.66-2.72
Rh: 0.3317 0.3317 0.1888  2 Hf 2.72, 5 Rh 2.89-3.02, 2 Tm 2.93
Rh: 0.3461 0.3461 0.6485  2 Hf 2.66, 4 Rh 2.77-2.89, 2 Tm 2.84
Rh: 0.6539 0.6539 0.3515  2 Hf 2.66, 4 Rh 2.77-2.89, 2 Tm 2.84
Rh: 0.6683 0.6683 0.8112  2 Hf 2.72, 5 Rh 2.89-3.02, 2 Tm 2.93

Results
M_tot: 0.0 μB per cell
volume: 17.1 Å³/atom
symmetry: C2/m (12)

Q:
VASP calculation (PBE-GGA) on a relaxed TmHfRh4 crystal.

Unit cell a=3.1166 b=4.5607 c=7.6908 alpha=90.00 beta=90.00 gamma=90.00
With the nearest neighbours (Å) after each atom.
Positions (direct):
Tm: 0.0000 0.0000 0.0000  8 Rh 2.79-2.86, 2 Tm 3.12
Hf: 0.5000 0.5000 0.5000  8 Rh 2.63-2.75
Rh: 0.0000 0.5000 0.2246  2 Hf 2.63, 4 Rh 2.82, 2 Tm 2.86
Rh: 0.0000 0.5000 0.7754  2 Hf 2.63, 4 Rh 2.82, 2 Tm 2.86
Rh: 0.5000 0.0000 0.3010  2 Hf 2.75, 2 Tm 2.79, 5 Rh 2.82-3.06
Rh: 0.5000 0.0000 0.6990  2 Hf 2.75, 2 Tm 2.79, 5 Rh 2.82-3.06

Results
M_tot: 0.0 μB per cell
volume: 18.2 Å³/atom
symmetry: Pmmm (47)

Most stable structure: P